Record 1
## Sc6Pd5Pt (PBE)

Data for Sc6Pd5Pt after structural relaxation.

Lattice parameters (Å, degrees): 8.138 8.138 8.138 146.23 133.00 59.11
Fractional positions:
Sc1 0.083 0.334 0.749
Sc2 0.248 0.000 0.248
Sc3 0.415 0.666 0.749
Sc4 0.585 0.334 0.251
Sc5 0.752 0.000 0.752
Sc6 0.917 0.666 0.251
Pd1 0.168 0.168 0.000
Pd2 0.334 0.834 0.500
Pd3 0.500 0.500 0.000
Pd4 0.666 0.166 0.500
Pd5 0.832 0.832 0.000
Pt1 0.000 0.500 0.500

Output
DOS(E_F) (states/eV/cell): 7.6
Space-group type: No. 71
Calculated formation energy (kJ/mol of atoms): -92.99

Record 2
## Sc2PdPt5 (PBE)

Data for Sc2PdPt5 after structural relaxation.

Lattice parameters (Å, degrees): 5.662 11.331 4.007 90.00 90.00 90.00
Fractional positions:
Sc1 0.249 0.125 0.000
Sc2 0.251 0.625 0.000
Sc3 0.749 0.375 0.000
Sc4 0.751 0.875 0.000
Pd1 0.000 0.000 0.500
Pd2 0.500 0.500 0.500
Pt1 0.000 0.500 0.500
Pt2 0.004 0.750 0.500
Pt3 0.247 0.374 0.000
Pt4 0.253 0.874 0.000
Pt5 0.496 0.250 0.500
Pt6 0.500 0.000 0.500
Pt7 0.504 0.750 0.500
Pt8 0.747 0.126 0.000
Pt9 0.753 0.626 0.000
Pt10 0.996 0.250 0.500

Output
DOS(E_F) (states/eV/cell): 15.1
Space-group type: No. 55
Calculated formation energy (kJ/mol of atoms): -99.15

Record 3
## Sc4Pd2Pt (PBE)

Data for Sc4Pd2Pt after structural relaxation.

Lattice parameters (Å, degrees): 7.984 7.984 7.984 33.67 33.67 33.67
Fractional positions:
Sc1 0.123 0.123 0.123
Sc2 0.373 0.373 0.373
Sc3 0.627 0.627 0.627
Sc4 0.877 0.877 0.877
Pd1 0.249 0.249 0.249
Pd2 0.751 0.751 0.751
Pt1 0.500 0.500 0.500

Output
DOS(E_F) (states/eV/cell): 5.2
Space-group type: No. 166
Calculated formation energy (kJ/mol of atoms): -81.52

Record 4
## ScPdPt3 (PBE)

Data for ScPdPt3 after structural relaxation.

Lattice parameters (Å, degrees): 9.596 9.596 4.952 90.00 90.00 148.78
Fractional positions:
Sc1 0.138 0.862 0.750
Sc2 0.862 0.138 0.250
Pd1 0.268 0.732 0.750
Pd2 0.732 0.268 0.250
Pt1 0.000 0.000 0.000
Pt2 0.000 0.000 0.500
Pt3 0.151 0.362 0.750
Pt4 0.362 0.151 0.250
Pt5 0.638 0.849 0.750
Pt6 0.849 0.638 0.250

Output
Polymorph energy (0 for the lowest one) (meV per atom): 583
DOS(E_F) (states/eV/cell): 5.3
Space-group type: No. 63
Calculated formation energy (kJ/mol of atoms): 0.40

Record 5
## ScPdPt2 (PBE)

Data for ScPdPt2 after structural relaxation.

Lattice parameters (Å, degrees): 4.948 4.948 4.948 132.21 132.21 69.90
Fractional positions:
Sc1 0.000 0.000 0.000
Pd1 0.500 0.500 0.000
Pt1 0.250 0.750 0.500
Pt2 0.750 0.250 0.500

Output
DOS(E_F) (states/eV/cell): 5.2
Space-group type: No. 139
Calculated formation energy (kJ/mol of atoms): -86.06

Record 6
## Sc4Pd4Pt5 (PBE)

Data for Sc4Pd4Pt5 after structural relaxation.

Lattice parameters (Å, degrees): 7.578 7.578 7.578 94.11 94.11 148.95
Fractional positions:
Sc1 0.129 0.232 0.361
Sc2 0.232 0.871 0.102
Sc3 0.768 0.129 0.898
Sc4 0.871 0.768 0.639
Pd1 0.086 0.613 0.699
Pd2 0.387 0.086 0.472
Pd3 0.613 0.914 0.528
Pd4 0.914 0.387 0.301
Pt1 0.000 0.000 0.000
Pt2 0.309 0.443 0.752
Pt3 0.443 0.691 0.133
Pt4 0.557 0.309 0.867
Pt5 0.691 0.557 0.248

Output
DOS(E_F) (states/eV/cell): 5.8
Space-group type: No. 87
Calculated formation energy (kJ/mol of atoms): -94.82

Record 7
## Sc7Pd2Pt2 (PBE)

Data for Sc7Pd2Pt2 after structural relaxation.

Lattice parameters (Å, degrees): 6.186 6.186 6.655 90.00 90.00 105.51
Fractional positions:
Sc1 0.000 0.000 0.000
Sc2 0.000 0.500 0.268
Sc3 0.000 0.500 0.732
Sc4 0.500 0.000 0.268
Sc5 0.500 0.000 0.732
Sc6 0.500 0.500 0.263
Sc7 0.500 0.500 0.737
Pd1 0.193 0.193 0.500
Pd2 0.807 0.807 0.500
Pt1 0.285 0.715 0.000
Pt2 0.715 0.285 0.000

Output
DOS(E_F) (states/eV/cell): 10.2
Space-group type: No. 65
Calculated formation energy (kJ/mol of atoms): -58.52

Record 8
## Sc3PdPt (PBE)

Data for Sc3PdPt after structural relaxation.

Lattice parameters (Å, degrees): 5.015 5.015 5.015 90.00 90.00 90.00
Fractional positions:
Sc1 0.000 0.000 0.500
Sc2 0.000 0.500 0.000
Sc3 0.500 0.000 0.000
Pd1 0.500 0.500 0.500
Pt1 0.000 0.000 0.000

Output
Polymorph energy (0 for the lowest one) (meV per atom): 509
DOS(E_F) (states/eV/cell): 3.8
Space-group type: No. 221
Calculated formation energy (kJ/mol of atoms): -25.88

Record 9
## Sc4Pd2Pt3 (PBE)

Data for Sc4Pd2Pt3 after structural relaxation.

Lattice parameters (Å, degrees): 4.243 4.860 8.655 81.94 89.99 64.13
Fractional positions:
Sc1 0.035 0.428 0.341
Sc2 0.344 0.813 0.114
Sc3 0.656 0.187 0.886
Sc4 0.965 0.572 0.659
Pd1 0.317 0.868 0.784
Pd2 0.683 0.132 0.216
Pt1 0.000 0.500 0.000
Pt2 0.343 0.811 0.430
Pt3 0.657 0.189 0.570

Output
DOS(E_F) (states/eV/cell): 5.1
Space-group type: No. 2
Calculated formation energy (kJ/mol of atoms): -100.46

Record 10
## Sc4PdPt3 (PBE)

Data for Sc4PdPt3 after structural relaxation.

Lattice parameters (Å, degrees): 9.429 6.470 4.714 90.00 90.00 90.00
Fractional positions:
Sc1 0.000 0.249 0.000
Sc2 0.000 0.751 0.000
Sc3 0.250 0.249 0.498
Sc4 0.250 0.751 0.498
Sc5 0.500 0.249 0.000
Sc6 0.500 0.751 0.000
Sc7 0.750 0.249 0.502
Sc8 0.750 0.751 0.502
Pd1 0.000 0.500 0.500
Pd2 0.500 0.500 0.500
Pt1 0.000 0.000 0.500
Pt2 0.250 0.000 0.997
Pt3 0.250 0.500 0.997
Pt4 0.500 0.000 0.500
Pt5 0.750 0.000 0.003
Pt6 0.750 0.500 0.003

Output
DOS(E_F) (states/eV/cell): 8.8
Space-group type: No. 51
Calculated formation energy (kJ/mol of atoms): -112.73

Record 11
## Sc5Pd2Pt (PBE)

Data for Sc5Pd2Pt after structural relaxation.

Lattice parameters (Å, degrees): 8.408 8.408 8.408 131.90 131.90 70.38
Fractional positions:
Sc1 0.000 0.000 0.000
Sc2 0.017 0.517 0.837
Sc3 0.180 0.017 0.500
Sc4 0.320 0.820 0.837
Sc5 0.483 0.320 0.500
Sc6 0.500 0.500 0.000
Sc7 0.517 0.680 0.500
Sc8 0.680 0.180 0.163
Sc9 0.820 0.983 0.500
Sc10 0.983 0.483 0.163
Pd1 0.137 0.363 0.500
Pd2 0.363 0.863 0.225
Pd3 0.637 0.137 0.775
Pd4 0.863 0.637 0.500
Pt1 0.250 0.250 0.000
Pt2 0.750 0.750 0.000

Output
DOS(E_F) (states/eV/cell): 18.7
Space-group type: No. 140
Calculated formation energy (kJ/mol of atoms): -74.77

Record 12
## ScPd2Pt2 (PBE)

Data for ScPd2Pt2 after structural relaxation.

Lattice parameters (Å, degrees): 4.456 4.456 10.060 90.00 90.00 120.00
Fractional positions:
Sc1 0.000 0.000 0.250
Sc2 0.000 0.000 0.750
Pd1 0.333 0.667 0.092
Pd2 0.333 0.667 0.408
Pd3 0.667 0.333 0.592
Pd4 0.667 0.333 0.908
Pt1 0.000 0.000 0.000
Pt2 0.000 0.000 0.500
Pt3 0.333 0.667 0.750
Pt4 0.667 0.333 0.250

Output
Polymorph energy (0 for the lowest one) (meV per atom): 112
DOS(E_F) (states/eV/cell): 7.5
Space-group type: No. 194
Calculated formation energy (kJ/mol of atoms): -36.63

Record 13
## Sc11Pd9Pt4 (PBE)

Data for Sc11Pd9Pt4 after structural relaxation.

Lattice parameters (Å, degrees): 11.980 11.980 3.282 90.00 90.00 112.24
Fractional positions:
Sc1 0.000 0.000 0.000
Sc2 0.066 0.410 0.000
Sc3 0.173 0.827 0.000
Sc4 0.261 0.261 0.000
Sc5 0.367 0.633 0.000
Sc6 0.410 0.066 0.000
Sc7 0.590 0.934 0.000
Sc8 0.633 0.367 0.000
Sc9 0.739 0.739 0.000
Sc10 0.827 0.173 0.000
Sc11 0.934 0.590 0.000
Pd1 0.035 0.201 0.500
Pd2 0.147 0.628 0.500
Pd3 0.201 0.035 0.500
Pd4 0.372 0.853 0.500
Pd5 0.500 0.500 0.500
Pd6 0.628 0.147 0.500
Pd7 0.799 0.965 0.500
Pd8 0.853 0.372 0.500
Pd9 0.965 0.799 0.500
Pt1 0.249 0.437 0.500
Pt2 0.437 0.249 0.500
Pt3 0.563 0.751 0.500
Pt4 0.751 0.563 0.500

Output
DOS(E_F) (states/eV/cell): 10.6
Space-group type: No. 65
Calculated formation energy (kJ/mol of atoms): -94.27

Record 14
## ScPd8Pt2 (PBE)

Data for ScPd8Pt2 after structural relaxation.

Lattice parameters (Å, degrees): 7.199 7.199 4.929 107.33 107.33 118.26
Fractional positions:
Sc1 0.000 0.000 0.000
Pd1 0.097 0.325 0.622
Pd2 0.215 0.785 0.000
Pd3 0.325 0.097 0.622
Pd4 0.408 0.408 0.181
Pd5 0.592 0.592 0.819
Pd6 0.675 0.903 0.378
Pd7 0.785 0.215 0.000
Pd8 0.903 0.675 0.378
Pt1 0.308 0.692 0.500
Pt2 0.692 0.308 0.500

Output
Polymorph energy (0 for the lowest one) (meV per atom): 0
DOS(E_F) (states/eV/cell): 14.4
Space-group type: No. 12
Calculated formation energy (kJ/mol of atoms): -10.73

Record 15
## ScPd5Pt6 (PBE)

Data for ScPd5Pt6 after structural relaxation.

Lattice parameters (Å, degrees): 7.433 7.433 7.433 149.16 114.56 74.08
Fractional positions:
Sc1 0.000 0.000 0.000
Pd1 0.165 0.665 0.500
Pd2 0.334 0.334 0.000
Pd3 0.500 0.000 0.500
Pd4 0.666 0.666 0.000
Pd5 0.835 0.335 0.500
Pt1 0.083 0.833 0.250
Pt2 0.249 0.500 0.749
Pt3 0.416 0.167 0.250
Pt4 0.584 0.833 0.750
Pt5 0.751 0.500 0.251
Pt6 0.917 0.167 0.750

Output
DOS(E_F) (states/eV/cell): 19.1
Space-group type: No. 71
Calculated formation energy (kJ/mol of atoms): -34.31

Record 16
## Sc3PdPt5 (PBE)

Data for Sc3PdPt5 after structural relaxation.

Lattice parameters (Å, degrees): 7.955 7.955 5.577 90.00 90.00 120.00
Fractional positions:
Sc1 0.000 0.343 0.250
Sc2 0.000 0.657 0.750
Sc3 0.343 0.000 0.250
Sc4 0.343 0.343 0.750
Sc5 0.657 0.000 0.750
Sc6 0.657 0.657 0.250
Pd1 0.000 0.000 0.000
Pd2 0.000 0.000 0.500
Pt1 0.000 0.324 0.750
Pt2 0.000 0.676 0.250
Pt3 0.324 0.000 0.750
Pt4 0.324 0.324 0.250
Pt5 0.333 0.667 0.000
Pt6 0.333 0.667 0.500
Pt7 0.667 0.333 0.000
Pt8 0.667 0.333 0.500
Pt9 0.676 0.000 0.250
Pt10 0.676 0.676 0.750

Output
DOS(E_F) (states/eV/cell): 8.3
Space-group type: No. 193
Calculated formation energy (kJ/mol of atoms): -100.83

Record 17
## ScPd6Pt4 (PBE)

Data for ScPd6Pt4 after structural relaxation.

Lattice parameters (Å, degrees): 8.731 8.731 2.779 90.00 90.00 120.00
Fractional positions:
Sc1 0.000 0.000 0.000
Pd1 0.037 0.519 0.000
Pd2 0.360 0.180 0.500
Pd3 0.481 0.519 0.000
Pd4 0.481 0.963 0.000
Pd5 0.820 0.180 0.500
Pd6 0.820 0.640 0.500
Pt1 0.167 0.334 0.500
Pt2 0.167 0.833 0.500
Pt3 0.666 0.833 0.500
Pt4 0.667 0.333 0.000

Output
DOS(E_F) (states/eV/cell): 15.1
Space-group type: No. 187
Calculated formation energy (kJ/mol of atoms): -17.59

Record 18
## Sc6PdPt5 (PBE)

Data for Sc6PdPt5 after structural relaxation.

Lattice parameters (Å, degrees): 4.708 6.487 7.423 90.00 108.06 90.00
Fractional positions:
Sc1 0.000 0.248 0.000
Sc2 0.000 0.752 0.000
Sc3 0.333 0.250 0.666
Sc4 0.333 0.750 0.666
Sc5 0.667 0.250 0.334
Sc6 0.667 0.750 0.334
Pd1 0.500 0.500 0.000
Pt1 0.165 0.500 0.327
Pt2 0.169 0.000 0.337
Pt3 0.500 0.000 0.000
Pt4 0.831 0.000 0.663
Pt5 0.835 0.500 0.673

Output
DOS(E_F) (states/eV/cell): 5.9
Space-group type: No. 10
Calculated formation energy (kJ/mol of atoms): -115.23

Record 19
## Sc6Pd2Pt (PBE)

Data for Sc6Pd2Pt after structural relaxation.

Lattice parameters (Å, degrees): 7.819 7.819 7.819 112.29 108.72 107.44
Fractional positions:
Sc1 0.051 0.831 0.219
Sc2 0.252 0.562 0.310
Sc3 0.252 0.942 0.690
Sc4 0.270 0.322 0.592
Sc5 0.270 0.678 0.948
Sc6 0.388 0.169 0.219
Sc7 0.612 0.831 0.781
Sc8 0.730 0.322 0.052
Sc9 0.730 0.678 0.408
Sc10 0.748 0.058 0.310
Sc11 0.748 0.438 0.690
Sc12 0.949 0.169 0.781
Pd1 0.000 0.157 0.157
Pd2 0.000 0.843 0.843
Pd3 0.358 0.358 0.000
Pd4 0.642 0.642 0.000
Pt1 0.000 0.500 0.500
Pt2 0.500 0.000 0.500

Output
DOS(E_F) (states/eV/cell): 18.4
Space-group type: No. 71
Calculated formation energy (kJ/mol of atoms): -66.95

Record 20
## Sc2PdPt4 (PBE)

Data for Sc2PdPt4 after structural relaxation.

Lattice parameters (Å, degrees): 7.452 7.452 7.452 142.07 142.07 54.73
Fractional positions:
Sc1 0.122 0.122 0.000
Sc2 0.878 0.878 0.000
Pd1 0.500 0.500 0.000
Pt1 0.000 0.500 0.500
Pt2 0.301 0.301 0.000
Pt3 0.500 0.000 0.500
Pt4 0.699 0.699 0.000

Output
Polymorph energy (0 for the lowest one) (meV per atom): 786
DOS(E_F) (states/eV/cell): 6.5
Space-group type: No. 139
Calculated formation energy (kJ/mol of atoms): 9.45